DFT (PBE with a Hubbard U) results for an optimized crystal structure of LiCuWF6.

Output
- Total magnetization: 0.212 μB/atom
- Space group: No. 163
- DFT total energy: -5.0417 eV per atom

Cell lengths 5.3252, 5.3252, 9.6138 Å; angles 90.00, 90.00, 120.00 degrees
Fractional positions:
Li (0.3333, 0.6667, 0.2500)
Li (0.6667, 0.3333, 0.7500)
Cu (0.0000, 0.0000, 0.0000)
Cu (0.0000, 0.0000, 0.5000)
W (0.3333, 0.6667, 0.7500)
W (0.6667, 0.3333, 0.2500)
F (0.0083, 0.3560, 0.6344)
F (0.0083, 0.6523, 0.8656)
F (0.3477, 0.3560, 0.8656)
F (0.3477, 0.9917, 0.6344)
F (0.3560, 0.0083, 0.1344)
F (0.3560, 0.3477, 0.3656)
F (0.6440, 0.6523, 0.6344)
F (0.6440, 0.9917, 0.8656)
F (0.6523, 0.0083, 0.3656)
F (0.6523, 0.6440, 0.1344)
F (0.9917, 0.3477, 0.1344)
F (0.9917, 0.6440, 0.3656)